1.
VASP calculation (meta-GGA SCAN) on TlIn2Sb at its PBEsol-relaxed geometry.

It has space group Cmmm (No. 65), with a = 4.0278 Å, b = 5.0978 Å, c = 10.4103 Å, α = 90.00°, β = 90.00° and γ = 90.00°. The asymmetric unit holds Tl at (0.0000, 0.0000, 0.0000), In at (0.0000, 0.5000, 0.2588) and Sb at (0.0000, 0.0000, 0.5000).

The value obtained for the calculated total energy is -44.022 eV/atom. Its crystal system is orthorhombic. For the energy relative to the lowest polymorph listed for this composition, the calculation gives 13 kJ/mol of formula units. The formation energy from raw total energies comes out at 29 kJ/mol of formula units. Its density of states at the Fermi level is 3.46 states/eV/cell.

2.
VASP calculation (meta-GGA SCAN) on Co5Re at its PBEsol-relaxed geometry.

It has space group P-62m (No. 189), with a = 4.3174 Å, b = 4.3174 Å, c = 3.9875 Å, α = 90.00°, β = 90.00° and γ = 120.00°. The asymmetric unit holds Co at (0.0000, 0.6561, 0.0000), Co at (0.3333, 0.6667, 0.5000) and Re at (0.0000, 0.0000, 0.5000).

The value obtained for the calculated total energy is -26.104 eV/atom. Its crystal system is hexagonal. For the energy relative to the lowest polymorph listed for this composition, the calculation gives 37 kJ/mol of formula units. Its density of states at the Fermi level is 5.91 states/eV/cell. The formation energy comes out at 16.0 kJ per mole of atoms.

3.
VASP calculation (meta-GGA SCAN) on RbNbTlOs2 at its PBEsol-relaxed geometry.

It has space group P4/mmm (No. 123), with a = 4.8025 Å, b = 4.8025 Å, c = 5.5999 Å, α = 90.00°, β = 90.00° and γ = 90.00°. The asymmetric unit holds Rb at (0.0000, 0.0000, 0.0000), Nb at (0.5000, 0.5000, 0.5000), Tl at (0.5000, 0.5000, 0.0000) and Os at (0.0000, 0.5000, 0.5000).

The value obtained for the calculated total energy is -52.527 eV/atom. Its crystal system is tetragonal. Its density of states at the Fermi level is 4.69 states/eV/cell. The formation energy comes out at 141.8 kJ per mole of atoms.

4.
VASP calculation (meta-GGA SCAN) on MgSi2Cl at its PBEsol-relaxed geometry.

It has space group I-42d (No. 122), with a = 3.5565 Å, b = 3.5565 Å, c = 23.3951 Å, α = 90.00°, β = 90.00° and γ = 90.00°. The asymmetric unit holds Mg at (0.0000, 0.0000, 0.0000), Si at (0.2239, 0.2500, 0.1250) and Cl at (0.0000, 0.0000, 0.5000).

The value obtained for the calculated total energy is -8.358 eV/atom. Its crystal system is tetragonal. For the energy relative to the lowest polymorph listed for this composition, the calculation gives 164 kJ/mol of formula units. The formation energy from raw total energies comes out at -43 kJ/mol of formula units. Its density of states at the Fermi level is 4.24 states/eV/cell.

5.
VASP calculation (meta-GGA SCAN) on KCaF3 at its PBEsol-relaxed geometry.

It has space group Pnma (No. 62), with a = 6.2120 Å, b = 8.6710 Å, c = 6.0971 Å, α = 90.00°, β = 90.00° and γ = 90.00°. The asymmetric unit holds K at (0.0417, 0.2500, 0.0113), Ca at (0.0000, 0.0000, 0.5000), F at (0.0295, 0.7500, 0.4150) and F at (0.2109, 0.5453, 0.7907).

The value obtained for the calculated total energy is -9.399 eV/atom. Its crystal system is orthorhombic. The formation energy from raw total energies comes out at -1774 kJ/mol of formula units. Its density of states at the Fermi level is 0.00 states/eV/cell.

6.
VASP calculation (meta-GGA SCAN) on AlRhCl2 at its PBEsol-relaxed geometry.

It has space group P4/mmm (No. 123), with a = 3.0949 Å, b = 3.0949 Å, c = 6.5797 Å, α = 90.00°, β = 90.00° and γ = 90.00°. The asymmetric unit holds Al at (0.0000, 0.0000, 0.0000), Rh at (0.0000, 0.0000, 0.5000) and Cl at (0.5000, 0.5000, 0.2492).

The value obtained for the calculated total energy is -14.021 eV/atom. Its crystal system is tetragonal. For the energy relative to the lowest polymorph listed for this composition, the calculation gives 313 kJ/mol of formula units. The formation energy from raw total energies comes out at 134 kJ/mol of formula units. Its density of states at the Fermi level is 3.15 states/eV/cell.

Which value of calculated total energy does entry 5 give? -9.399 eV/atom